[1]
A geometry-optimized Pa3In structure. Source: the Alexandria database, functional PBE.

The structure in extended XYZ format:
```
4
Lattice="-1.5818 5.4783 2.8621 1.5818 -5.4783 2.8621 1.5818 5.4783 -2.8621" Properties=species:S:1:pos:R:3 pbc="T T T"
Pa 0.0000 0.0000 0.0000
Pa 1.5818 2.8403 -1.1407
Pa 0.0000 2.6380 1.7214
In 0.0000 5.4783 0.0335
```

- M_tot: 0.00 Bohr magnetons per cell
- V: 24.8 Å³/atom
- Energy relative to the elements: 0.00 eV per atom
- Relative energy among the computed polymorphs: 0.027 eV/atom

[2]
A geometry-optimized CaIn3 structure. Source: the Alexandria database, functional PBE.

The structure in extended XYZ format:
```
4
Lattice="-2.3338 2.3338 4.9265 2.3338 -2.3338 4.9265 2.3338 2.3338 -4.9265" Properties=species:S:1:pos:R:3 pbc="T T T"
Ca 0.0000 0.0000 0.0000
In 2.3338 0.0000 2.4632
In 0.0000 0.0000 4.9265
In 0.0000 2.3338 2.4632
```

- M_tot: 0.00 Bohr magnetons per cell
- V: 26.8 Å³/atom
- Energy relative to the elements: -0.28 eV per atom

[3]
A geometry-optimized Ac6Ge3Te2I structure. Source: the Alexandria database, functional PBE.

The structure in extended XYZ format:
```
12
Lattice="10.3199 -2.3339 0.0000 10.3199 2.3339 0.0000 -2.4165 0.0000 9.1952" Properties=species:S:1:pos:R:3 pbc="T T T"
Ac -0.4067 0.0000 2.0610
Ac 5.6360 0.0000 3.9600
Ac 4.8088 0.0000 8.2972
Ac 13.4145 0.0000 0.8981
Ac 12.5873 0.0000 5.2352
Ac 18.6300 0.0000 7.1343
Ge 2.6013 0.0000 3.0648
Ge 10.3199 0.0000 0.0000
Ge 15.6220 0.0000 6.1304
Te 1.4046 0.0000 7.6355
Te 16.8186 0.0000 1.5597
I 9.1116 0.0000 4.5976
```

- M_tot: 0.00 Bohr magnetons per cell
- V: 36.9 Å³/atom
- Uncorrected energy: -5.02 eV/atom

[4]
A geometry-optimized Ir2Br structure. Source: the Alexandria database, functional PBE.

The structure in extended XYZ format:
```
3
Lattice="3.0510 0.0000 0.0000 -1.5255 2.6422 0.0000 0.0000 0.0000 6.2976" Properties=species:S:1:pos:R:3 pbc="T T T"
Ir 0.0000 1.7615 2.1894
Ir 1.5255 0.8807 4.1083
Br 0.0000 0.0000 0.0000
```

- M_tot: 0.00 Bohr magnetons per cell
- V: 16.9 Å³/atom
- Relative energy among the computed polymorphs: 0.526 eV/atom

[5]
A geometry-optimized LiCa2Bi structure. Source: the Alexandria database, functional PBE.

The structure in extended XYZ format:
```
4
Lattice="1.8592 1.0734 11.7786 -1.8592 1.0734 11.7786 0.0000 -2.1468 11.7786" Properties=species:S:1:pos:R:3 pbc="T T T"
Li 0.0000 0.0000 0.0000
Ca 0.0000 0.0000 14.4812
Ca 0.0000 0.0000 20.8546
Bi 0.0000 0.0000 17.6679
```

- M_tot: 0.00 Bohr magnetons per cell
- V: 35.3 Å³/atom
- Energy relative to the elements: 0.04 eV per atom

[6]
A geometry-optimized KYHgF6 structure. Source: the Alexandria database, functional PBE.

The structure in extended XYZ format:
```
18
Lattice="6.1983 0.0000 0.0000 -3.0991 5.3678 0.0000 0.0000 0.0000 10.5116" Properties=species:S:1:pos:R:3 pbc="T T T"
K 0.0000 0.0000 0.0000
K 0.0000 0.0000 5.2558
Y 0.0000 3.5786 2.6279
Y 3.0991 1.7893 7.8837
Hg 0.0000 3.5786 7.8837
Hg 3.0991 1.7893 2.6279
F -1.0552 2.0175 1.4775
F -1.8795 3.4452 3.7783
F 1.0552 2.0175 3.7783
F -0.8243 5.2730 1.4775
F 2.2748 0.0949 6.7333
F 1.2196 1.9226 9.0341
F 1.8795 3.4452 1.4775
F 0.8243 5.2730 3.7783
F 3.9234 0.0949 9.0341
F 2.0439 3.3504 6.7333
F 4.9787 1.9226 6.7333
F 4.1544 3.3504 9.0341
```

- M_tot: 0.00 Bohr magnetons per cell
- V: 19.4 Å³/atom
- Uncorrected energy: -5.03 eV/atom

[7]
A geometry-optimized Cr2SiPt8 structure. Source: the Alexandria database, functional PBE.

The structure in extended XYZ format:
```
11
Lattice="-2.0293 3.7188 5.5828 2.0293 -3.7188 5.5828 2.0293 3.7188 -5.5828" Properties=species:S:1:pos:R:3 pbc="T T T"
Cr 0.0000 0.0000 2.1610
Cr 0.0000 0.0000 9.0045
Si 0.0000 0.0000 5.5828
Pt 2.0293 1.6899 -1.7924
Pt 0.0000 1.3243 0.0000
Pt 2.0293 0.0000 4.1149
Pt 2.0293 1.6899 1.7924
Pt 0.0000 2.0289 3.7904
Pt 0.0000 3.7188 1.4678
Pt 0.0000 6.1133 0.0000
Pt 0.0000 2.0289 7.3752
```

- M_tot: 4.43 Bohr magnetons per cell
- V: 15.3 Å³/atom
- Uncorrected energy: -6.87 eV/atom

[8]
A geometry-optimized LaZr2MnS structure. Source: the Alexandria database, functional PBE.

The structure in extended XYZ format:
```
5
Lattice="5.0711 0.0000 0.0000 0.0000 5.0711 0.0000 0.0000 0.0000 4.2466" Properties=species:S:1:pos:R:3 pbc="T T T"
La 0.0000 0.0000 0.0000
Zr 0.0000 2.5356 2.1233
Zr 2.5356 0.0000 2.1233
Mn 2.5356 2.5356 2.1233
S 2.5356 2.5356 0.0000
```

- M_tot: 0.00 Bohr magnetons per cell
- V: 21.8 Å³/atom
- Uncorrected energy: -6.94 eV/atom

[9]
A geometry-optimized Sb2PtS2 structure. Source: the Alexandria database, functional PBE.

The structure in extended XYZ format:
```
5
Lattice="-2.1688 2.1688 6.1964 2.1688 -2.1688 6.1964 2.1688 2.1688 -6.1964" Properties=species:S:1:pos:R:3 pbc="T T T"
Sb 0.0000 0.0000 1.5606
Sb 0.0000 0.0000 10.8323
Pt 0.0000 0.0000 6.1964
S 2.1688 0.0000 3.0982
S 0.0000 2.1688 3.0982
```

- M_tot: 0.00 Bohr magnetons per cell
- V: 23.3 Å³/atom
- Relative energy among the computed polymorphs: 0.395 eV/atom

[10]
A geometry-optimized NaH8Os2 structure. Source: the Alexandria database, functional PBE.

The structure in extended XYZ format:
```
11
Lattice="4.8159 0.0000 0.0000 -2.4080 4.1707 0.0000 0.0000 0.0000 4.4758" Properties=species:S:1:pos:R:3 pbc="T T T"
Na 0.0000 0.0000 0.0000
H -0.7396 1.2811 1.6776
H -1.4985 2.5956 3.2528
H 1.4793 0.0000 1.6776
H 0.0000 2.7805 0.6538
H 0.9094 1.5751 3.2528
H 2.9971 0.0000 3.2528
H 2.4080 1.3902 0.6538
H 1.6683 2.8896 1.6776
Os 0.0000 2.7805 2.2883
Os 2.4080 1.3902 2.2883
```

- M_tot: 0.00 Bohr magnetons per cell
- V: 8.2 Å³/atom
- Uncorrected energy: -4.46 eV/atom

[11]
A geometry-optimized Cs3K2Pb4 structure. Source: the Alexandria database, functional PBE.

The structure in extended XYZ format:
```
9
Lattice="6.6543 0.0000 0.0000 2.8965 7.1100 0.0000 1.1434 3.2231 10.3590" Properties=species:S:1:pos:R:3 pbc="T T T"
Cs 0.0000 0.0000 0.0000
Cs 3.7463 3.8904 6.0529
Cs 6.9479 6.4428 4.3060
K 3.9568 2.8633 1.9304
K 6.7374 7.4699 8.4285
Pb 3.4772 8.1591 6.5789
Pb 3.3679 6.2872 9.1048
Pb 7.3262 4.0460 1.2541
Pb 7.2169 2.1740 3.7801
```

- M_tot: 0.00 Bohr magnetons per cell
- V: 54.5 Å³/atom
- Energy relative to the elements: -0.08 eV per atom

[12]
A geometry-optimized TiZnTe structure. Source: the Alexandria database, functional PBE.

The structure in extended XYZ format:
```
6
Lattice="5.8814 0.0000 0.0000 0.0000 3.4258 0.0000 0.0000 0.0000 6.2752" Properties=species:S:1:pos:R:3 pbc="T T T"
Ti 0.0000 0.0000 0.0000
Ti 2.9407 0.0000 0.0000
Zn 1.4704 1.7129 1.7343
Zn 4.4111 1.7129 4.5409
Te 1.4704 1.7129 4.5320
Te 4.4111 1.7129 1.7432
```

- M_tot: 0.00 Bohr magnetons per cell
- V: 21.1 Å³/atom
- Relative energy among the computed polymorphs: 0.144 eV/atom